Computed, not measured: an optimized crystal structure of BaHF3 at the GGA-PBE level of DFT.

```
data_BaHF3
_symmetry_space_group_name_H-M 'P m -3 m'
_symmetry_Int_Tables_number 221
_symmetry_space_group_name_Hall '-P 4 2 3'
_cell_length_a 3.920
_cell_length_b 3.920
_cell_length_c 3.920
_cell_angle_alpha 90.00
_cell_angle_beta 90.00
_cell_angle_gamma 90.00
loop_
_atom_site_label
_atom_site_type_symbol
_atom_site_fract_x
_atom_site_fract_y
_atom_site_fract_z
Ba1 Ba 0.000 0.000 0.000
H1 H 0.500 0.500 0.500
F1 F 0.000 0.500 0.500
```

Summary:
The crystal system is cubic. The calculation puts the energy above the most stable polymorph in this dataset at 619 meV/atom. For the density of states at the Fermi level, the calculation gives 0.0 states/eV per cell.